# 1
VASP calculation (GGA-PBE) on a relaxed structure of Hf2ZnCd. Values from VASP.

Calculated values
energy above the most stable polymorph in this dataset = 47 meV/atom
energy of formation from the pure elements = -0.054 eV/atom

Structure (Quantum ESPRESSO input):
```
&SYSTEM
  ibrav = 0, nat = 4, ntyp = 3
/
ATOMIC_SPECIES
Zn 65.41 Zn.upf
Hf 178.49 Hf.upf
Cd 112.41 Cd.upf
ATOMIC_POSITIONS angstrom
Zn 1.6783 1.6783 0.0000
Hf 0.0000 0.0000 5.3440
Hf 0.0000 0.0000 1.6209
Cd 1.6783 1.6783 3.4824
CELL_PARAMETERS angstrom
3.3567 0.0000 0.0000
0.0000 3.3567 0.0000
0.0000 0.0000 6.9649
```

# 2
VASP calculation (GGA-PBE) on a relaxed structure of HfZn2Cd. Values from VASP.

Calculated values
energy of formation from the pure elements = -0.099 eV/atom

Structure (Quantum ESPRESSO input):
```
&SYSTEM
  ibrav = 0, nat = 4, ntyp = 3
/
ATOMIC_SPECIES
Zn 65.41 Zn.upf
Cd 112.41 Cd.upf
Hf 178.49 Hf.upf
ATOMIC_POSITIONS angstrom
Zn -0.8181 -0.9538 1.7919
Zn 0.3113 -1.9681 -0.9055
Cd -1.7295 0.0721 -0.7512
Hf -2.2363 -2.8498 0.1352
CELL_PARAMETERS angstrom
-3.4589 0.1442 -1.5025
0.6226 -3.9362 -1.8109
-1.6363 -1.9076 3.5838
```

# 3
VASP calculation (GGA-PBE) on a relaxed structure of Hf2ZnCd. Values from VASP.

Calculated values
energy above the most stable polymorph in this dataset = 449 meV/atom
energy of formation from the pure elements = 0.348 eV/atom

Structure (Quantum ESPRESSO input):
```
&SYSTEM
  ibrav = 0, nat = 4, ntyp = 3
/
ATOMIC_SPECIES
Zn 65.41 Zn.upf
Hf 178.49 Hf.upf
Cd 112.41 Cd.upf
ATOMIC_POSITIONS angstrom
Zn 6.5213 3.7651 5.5132
Hf 2.1738 1.2550 4.4317
Hf 2.1738 1.2550 1.0171
Cd 4.3475 2.5100 2.8599
CELL_PARAMETERS angstrom
4.3475 0.0000 0.0000
2.1738 3.7651 0.0000
2.1738 1.2550 5.5288
```

# 4
VASP calculation (GGA-PBE) on a relaxed structure of HfZnCd. Values from VASP.

Calculated values
energy of formation from the pure elements = -0.064 eV/atom

Structure (Quantum ESPRESSO input):
```
&SYSTEM
  ibrav = 0, nat = 6, ntyp = 3
/
ATOMIC_SPECIES
Zn 65.41 Zn.upf
Hf 178.49 Hf.upf
Cd 112.41 Cd.upf
ATOMIC_POSITIONS angstrom
Zn -6.1111 6.6460 2.1847
Zn -3.6463 0.9468 1.1092
Hf -7.6368 6.6653 4.6990
Hf -2.1206 0.9275 -1.4052
Cd -5.7102 3.9056 2.9653
Cd -4.0471 3.6872 0.3285
CELL_PARAMETERS angstrom
-1.2861 0.8152 -2.7268
-2.3609 -1.9766 0.5227
-6.1103 8.7542 5.4979
```

no.,DFT total energy (eV for the cell shown)
1,-22.31
2,-13.81
3,-20.71
4,-24.67